Entry 1:
Compound: FeSiRh4
Source: the Alexandria database
Functional: PBE
Structure: optimized geometry

Cell lengths 5.070, 5.070, 5.070 Å; angles 60.00, 60.00, 60.00 degrees
Positions (direct):
Fe: 0.000 0.000 0.000
Si: 0.250 0.250 0.250
Rh: 0.126 0.625 0.625
Rh: 0.625 0.126 0.625
Rh: 0.625 0.625 0.126
Rh: 0.625 0.625 0.625

Total magnetic moment   4.76 μB/cell
Space-group type   F-43m, No. 216
VASP energy   -6.828 eV/atom

---

Entry 2:
Compound: Fe2SiRh3
Source: the Alexandria database
Functional: PBE
Structure: optimized geometry

Cell lengths 6.422, 6.422, 6.470 Å; angles 90.00, 90.00, 143.21 degrees
Positions (direct):
Fe: 0.000 0.000 0.000
Fe: 0.000 0.000 0.500
Fe: 0.332 0.668 0.000
Fe: 0.668 0.332 0.000
Si: 0.339 0.661 0.500
Si: 0.661 0.339 0.500
Rh: 0.170 0.830 0.274
Rh: 0.170 0.830 0.726
Rh: 0.500 0.500 0.262
Rh: 0.500 0.500 0.738
Rh: 0.830 0.170 0.274
Rh: 0.830 0.170 0.726

Total magnetic moment   15.18 μB/cell
Space-group type   Cmmm, No. 65
VASP energy   -7.755 eV/atom

---

Entry 3:
Compound: FeSi2Rh
Source: the Alexandria database
Functional: PBE
Structure: optimized geometry

Cell lengths 2.796, 3.494, 5.092 Å; angles 90.00, 90.00, 90.00 degrees
Positions (direct):
Fe: 0.000 0.000 0.000
Si: 0.000 0.000 0.549
Si: 0.500 0.500 0.854
Rh: 0.500 0.500 0.357

Total magnetic moment   0.00 μB/cell
Space-group type   Pmm2, No. 25
VASP energy   -7.129 eV/atom

---

Entry 4:
Compound: FeSi2Rh4
Source: the Alexandria database
Functional: PBE
Structure: optimized geometry

Cell lengths 7.131, 7.131, 7.131 Å; angles 33.40, 33.40, 33.40 degrees
Positions (direct):
Fe: 0.000 0.000 0.000
Si: 0.246 0.246 0.246
Si: 0.754 0.754 0.754
Rh: 0.126 0.126 0.126
Rh: 0.376 0.376 0.376
Rh: 0.624 0.624 0.624
Rh: 0.874 0.874 0.874

Total magnetic moment   4.16 μB/cell
Space-group type   R-3m, No. 166
VASP energy   -7.557 eV/atom

---

Entry 5:
Compound: FeSi2Rh
Source: the Alexandria database
Functional: PBE
Structure: optimized geometry

Cell lengths 7.621, 7.621, 7.621 Å; angles 20.91, 20.91, 20.91 degrees
Positions (direct):
Fe: 0.000 0.000 0.000
Si: 0.255 0.255 0.255
Si: 0.745 0.745 0.745
Rh: 0.500 0.500 0.500

Total magnetic moment   0.32 μB/cell
Space-group type   R-3m, No. 166
VASP energy   -7.073 eV/atom

---

Entry 6:
Compound: FeSi2Rh
Source: the Alexandria database
Functional: PBE
Structure: optimized geometry

Cell lengths 4.085, 4.085, 4.085 Å; angles 60.00, 60.00, 60.00 degrees
Positions (direct):
Fe: 0.000 0.000 0.000
Si: 0.250 0.250 0.250
Si: 0.750 0.750 0.750
Rh: 0.500 0.500 0.500

Total magnetic moment   1.04 μB/cell
Space-group type   Fm-3m, No. 225
VASP energy   -7.116 eV/atom